(1)
Entry from OQMD via LeMat-Bulk: crystalline PmSiGe at its relaxed geometry (PBE-GGA).

Results
symmetry: F-43m
energy above the most stable polymorph in this dataset: 0.000 eV per atom

a b c (Å): 4.6992 4.6992 4.6992
angles (deg): 60.00 60.00 60.00
Positions (direct):
Ge1 0.2500 0.2500 0.2500
Pm1 0.7500 0.7500 0.7500
Si1 0.0000 0.0000 0.0000

(2)
Entry from OQMD via LeMat-Bulk: crystalline PmSmGe at its relaxed geometry (PBE-GGA).

Results
symmetry: F-43m
energy above the most stable polymorph in this dataset: 0.000 eV per atom

a b c (Å): 5.0394 5.0394 5.0394
angles (deg): 60.00 60.00 60.00
Positions (direct):
Ge1 0.2500 0.2500 0.2500
Pm1 0.7500 0.7500 0.7500
Sm1 0.0000 0.0000 0.0000

(3)
Entry from OQMD via LeMat-Bulk: crystalline PmSn2Ge at its relaxed geometry (PBE-GGA).

Results
symmetry: P4/mmm

a b c (Å): 4.5337 4.5337 4.8588
angles (deg): 90.00 90.00 90.00
Positions (direct):
Ge1 0.5000 0.5000 0.0000
Pm1 0.0000 0.0000 0.0000
Sn1 0.5000 0.0000 0.5000
Sn2 0.0000 0.5000 0.5000

(4)
Entry from OQMD via LeMat-Bulk: crystalline PmSnGe at its relaxed geometry (PBE-GGA).

Results
symmetry: F-43m
energy above the most stable polymorph in this dataset: 0.000 eV per atom

a b c (Å): 4.9361 4.9361 4.9361
angles (deg): 60.00 60.00 60.00
Positions (direct):
Ge1 0.0000 0.0000 0.0000
Pm1 0.2500 0.2500 0.2500
Sn1 0.7500 0.7500 0.7500

(5)
Entry from OQMD via LeMat-Bulk: crystalline PmTaGe at its relaxed geometry (PBE-GGA).

Results
symmetry: F-43m
energy above the most stable polymorph in this dataset: 0.000 eV per atom

a b c (Å): 4.6527 4.6527 4.6527
angles (deg): 60.00 60.00 60.00
Positions (direct):
Ge1 0.0000 0.0000 0.0000
Pm1 0.2500 0.2500 0.2500
Ta1 0.7500 0.7500 0.7500

(6)
Entry from OQMD via LeMat-Bulk: crystalline PmTaGe at its relaxed geometry (PBE-GGA).

Results
symmetry: F-43m
energy above the most stable polymorph in this dataset: 0.994 eV per atom

a b c (Å): 4.9044 4.9044 4.9044
angles (deg): 60.00 60.00 60.00
Positions (direct):
Ge1 0.2500 0.2500 0.2500
Pm1 0.0000 0.0000 0.0000
Ta1 0.7500 0.7500 0.7500

(7)
Entry from OQMD via LeMat-Bulk: crystalline Pm2Tc3Ge5 at its relaxed geometry (PBE-GGA).

Results
symmetry: Ibam

a b c (Å): 8.6448 8.6448 8.6448
angles (deg): 109.45 83.85 140.73
Positions (direct):
Ge1 0.9090 0.1822 0.0912
Ge2 0.4565 0.2500 0.2065
Ge3 0.9565 0.7500 0.2065
Ge4 0.5910 0.6822 0.2731
Ge5 0.7500 0.2500 0.5000
Ge6 0.2500 0.7500 0.5000
Ge7 0.4090 0.3178 0.7269
Ge8 0.0435 0.2500 0.7935
Ge9 0.5435 0.7500 0.7935
Ge10 0.0910 0.8178 0.9088
Pm1 0.3642 0.7622 0.1265
Pm2 0.1358 0.2622 0.3980
Pm3 0.8642 0.7378 0.6020
Pm4 0.6358 0.2378 0.8735
Tc1 0.2500 0.2500 0.0000
Tc2 0.7500 0.7500 0.0000
Tc3 0.8505 0.4152 0.2657
Tc4 0.3505 0.0848 0.4353
Tc5 0.6495 0.9152 0.5647
Tc6 0.1495 0.5848 0.7343

(8)
Entry from OQMD via LeMat-Bulk: crystalline Pm5GeTe5 at its relaxed geometry (PBE-GGA).

Results
symmetry: C2/m

a b c (Å): 7.6882 7.6882 8.8236
angles (deg): 106.94 106.94 48.09
Positions (direct):
Ge1 0.0000 0.0000 0.0000
Pm1 0.5000 0.5000 0.0000
Pm2 0.8426 0.8426 0.1618
Pm3 0.1576 0.1576 0.3203
Pm4 0.8424 0.8424 0.6797
Pm5 0.1574 0.1574 0.8382
Te1 0.3355 0.3355 0.1733
Te2 0.6702 0.6702 0.3358
Te3 0.0000 0.0000 0.5000
Te4 0.3298 0.3298 0.6642
Te5 0.6645 0.6645 0.8267

(9)
Entry from OQMD via LeMat-Bulk: crystalline Pm3GeTe2 at its relaxed geometry (PBE-GGA).

Results
symmetry: C2/c

a b c (Å): 7.6472 7.6472 7.5939
angles (deg): 99.76 99.76 119.36
Positions (direct):
Ge1 0.5883 0.4117 0.2500
Ge2 0.4117 0.5883 0.7500
Pm1 0.5000 0.0000 0.0000
Pm2 0.2038 0.3534 0.0037
Pm3 0.6466 0.7962 0.4963
Pm4 0.0000 0.5000 0.5000
Pm5 0.3534 0.2038 0.5037
Pm6 0.7962 0.6466 0.9963
Te1 0.9184 0.0816 0.2500
Te2 0.2425 0.7575 0.2500
Te3 0.7575 0.2425 0.7500
Te4 0.0816 0.9184 0.7500

(10)
Entry from OQMD via LeMat-Bulk: crystalline Pm2GeTe at its relaxed geometry (PBE-GGA).

Results
symmetry: P4/mmm

a b c (Å): 4.3775 4.3775 6.1611
angles (deg): 90.00 90.00 90.00
Positions (direct):
Ge1 0.5000 0.5000 0.5000
Pm1 0.5000 0.5000 0.0000
Pm2 0.0000 0.0000 0.5000
Te1 0.0000 0.0000 0.0000

(11)
Entry from OQMD via LeMat-Bulk: crystalline PmThGe at its relaxed geometry (PBE-GGA).

Results
symmetry: F-43m

a b c (Å): 5.1094 5.1094 5.1094
angles (deg): 60.00 60.00 60.00
Each line ends with the local moment (μB).
Positions (direct):
Ge1 0.5000 0.5000 0.5000  -0.03
Pm1 0.0000 0.0000 0.0000  0.69
Th1 0.2500 0.2500 0.2500  0.77

(12)
Entry from OQMD via LeMat-Bulk: crystalline PmTmGe at its relaxed geometry (PBE-GGA).

Results
symmetry: F-43m
energy above the most stable polymorph in this dataset: 0.000 eV per atom

a b c (Å): 4.9150 4.9150 4.9150
angles (deg): 60.00 60.00 60.00
Positions (direct):
Ge1 0.0000 0.0000 0.0000
Pm1 0.2500 0.2500 0.2500
Tm1 0.7500 0.7500 0.7500

(13)
Entry from OQMD via LeMat-Bulk: crystalline PmUGe at its relaxed geometry (PBE-GGA).

Results
symmetry: F-43m
energy above the most stable polymorph in this dataset: 0.000 eV per atom

a b c (Å): 4.9453 4.9453 4.9453
angles (deg): 60.00 60.00 60.00
Positions (direct):
Ge1 0.0000 0.0000 0.0000
Pm1 0.2500 0.2500 0.2500
U1 0.7500 0.7500 0.7500

no.,V (Å³ per cell),total magnetic moment (Bohr magnetons per cell),final energy (eV/cell)
1,73,0.0,-15.12
2,90,1.6,-13.16
3,100,0.0,-19.16
4,85,0.0,-14.21
5,71,0.2,-20.76
6,83,3.1,-17.78
7,373,0.0,-137.29
8,368,0.0,-59.32
9,365,0.0,-66.16
10,118,0.0,-21.90
11,94,2.2,-15.20
12,84,0.0,-15.39
13,86,3.2,-20.25